VASP calculation (GGA-PBE) on crystalline MoIrRh2 at its relaxed geometry.

symmetry = No. 38
energy above the lowest structure with this stoichiometry = 0.000 eV/atom
calculated formation energy = -0.284 eV/atom

a b c (Å): 4.387 5.523 5.523
angles (deg): 119.92 90.00 90.00
Fractional positions:
Mo  0.500  0.666  0.334
Mo  0.000  0.334  0.666
Ir  0.500  0.668  0.835
Ir  0.500  0.165  0.332
Rh  0.500  0.166  0.834
Rh  0.000  0.334  0.166
Rh  0.000  0.834  0.666
Rh  0.000  0.834  0.166

=====

VASP calculation (GGA-PBE) on crystalline PmZn2Co2Si at its relaxed geometry.

symmetry = No. 123
energy relative to the elements, uncorrected = -0.209 eV per atom

a b c (Å): 4.243 4.243 5.675
angles (deg): 90.00 90.00 90.00
Fractional positions:
Pm  0.000  0.000  0.500
Zn  0.500  0.500  0.739
Zn  0.500  0.500  0.261
Co  0.500  0.000  0.000
Co  0.000  0.500  0.000
Si  0.000  0.000  0.000

=====

VASP calculation (GGA-PBE) on crystalline CeHoScIn at its relaxed geometry.

symmetry = No. 216
calculated formation energy = -0.078 eV/atom

a b c (Å): 5.259 5.259 5.259
angles (deg): 60.00 60.00 60.00
Fractional positions:
Sc  0.750  0.750  0.750
Ho  0.250  0.250  0.250
Ce  0.000  0.000  0.000
In  0.500  0.500  0.500

=====

no.,DFT total energy (eV per atom)
1,-8.88
2,-4.70
3,-4.97